[1]
First-principles (PBE-GGA) data for crystalline LaTcRu3 at its relaxed geometry, as listed in the Alexandria database.

It has space group Pm-3m (No. 221), with a = 4.7302 Å, b = 4.7302 Å, c = 4.7302 Å, α = 90.00°, β = 90.00° and γ = 90.00°. The inequivalent atoms are La at (0.0000, 0.0000, 0.0000), Tc at (0.5000, 0.5000, 0.5000) and Ru at (0.0000, 0.0000, 0.5000).

As for the energy above the most stable polymorph in this dataset: 1.514 eV/atom. For the total energy, the calculation gives -6.464 eV/atom. For the density of states at the Fermi level, the calculation gives 10.59 states/eV per cell. The total moment is 0.881 μB/atom. For the density, the calculation gives 8.474 g cm⁻³. The value obtained for the volume is 21.167 Å³/atom. The formation energy comes out at 2160 meV/atom.



[2]
First-principles (PBE-GGA) data for crystalline LaTc2Ru2 at its relaxed geometry, as listed in the Alexandria database.

It has space group P4/mbm (No. 127), with a = 7.8222 Å, b = 7.8222 Å, c = 2.8144 Å, α = 90.00°, β = 90.00° and γ = 90.00°. The inequivalent atoms are La at (0.0000, 0.0000, 0.0000), Tc at (0.1165, 0.3835, 0.0000) and Ru at (0.1690, 0.6690, 0.5000).

As for the energy above the most stable polymorph in this dataset: 0.083 eV/atom. For the total energy, the calculation gives -8.697 eV/atom. For the density of states at the Fermi level, the calculation gives 9.59 states/eV per cell. The total moment is 0.000 μB/atom. For the density, the calculation gives 10.357 g cm⁻³. The value obtained for the volume is 17.221 Å³/atom. The formation energy comes out at 146 meV/atom.



[3]
First-principles (PBE-GGA) data for crystalline La4TcRu at its relaxed geometry, as listed in the Alexandria database.

It has space group F-43m (No. 216), with a = 8.6258 Å, b = 8.6258 Å, c = 8.6258 Å, α = 90.00°, β = 90.00° and γ = 90.00°. The inequivalent atoms are La at (0.1249, 0.1249, 0.1249), Tc at (0.0000, 0.0000, 0.5000) and Ru at (0.2500, 0.2500, 0.7500).

For the total energy, the calculation gives -5.462 eV/atom. For the density of states at the Fermi level, the calculation gives 40.19 states/eV per cell. The total moment is 0.270 μB/atom. For the density, the calculation gives 7.810 g cm⁻³. The value obtained for the volume is 26.742 Å³/atom. The formation energy comes out at 1097 meV/atom.



[4]
First-principles (PBE-GGA) data for crystalline La8Tc2Ru at its relaxed geometry, as listed in the Alexandria database.

It has space group P-1 (No. 2), with a = 6.2758 Å, b = 7.4797 Å, c = 7.6932 Å, α = 82.03°, β = 88.69° and γ = 83.22°. The inequivalent atoms are La at (0.1975, 0.3228, 0.4253), La at (0.2273, 0.8658, 0.7906), La at (0.2528, 0.3564, 0.9368), La at (0.3022, 0.8210, 0.3081), Tc at (0.3392, 0.5341, 0.6378) and Ru at (0.5000, 0.0000, 0.0000).

For the total energy, the calculation gives -6.351 eV/atom. For the density of states at the Fermi level, the calculation gives 12.39 states/eV per cell. The total moment is 0.000 μB/atom. For the density, the calculation gives 6.585 g cm⁻³. The value obtained for the volume is 32.285 Å³/atom. The formation energy comes out at -40 meV/atom.



[5]
First-principles (PBE-GGA) data for crystalline LaTcRu3 at its relaxed geometry, as listed in the Alexandria database.

It has space group Pm-3m (No. 221), with a = 4.7064 Å, b = 4.7064 Å, c = 4.7064 Å, α = 90.00°, β = 90.00° and γ = 90.00°. The inequivalent atoms are La at (0.0000, 0.0000, 0.0000), Tc at (0.5000, 0.5000, 0.5000) and Ru at (0.0000, 0.5000, 0.5000).

As for the energy above the most stable polymorph in this dataset: 0.000 eV/atom. For the total energy, the calculation gives -7.979 eV/atom. For the density of states at the Fermi level, the calculation gives 4.87 states/eV per cell. The total moment is 0.000 μB/atom. For the density, the calculation gives 8.603 g cm⁻³. The value obtained for the volume is 20.850 Å³/atom. The formation energy comes out at 646 meV/atom.



[6]
First-principles (PBE-GGA) data for crystalline LaTcTe2Ru at its relaxed geometry, as listed in the Alexandria database.

It has space group P4/mmm (No. 123), with a = 5.3307 Å, b = 5.3307 Å, c = 4.6531 Å, α = 90.00°, β = 90.00° and γ = 90.00°. The inequivalent atoms are La at (0.0000, 0.0000, 0.0000), Tc at (0.5000, 0.5000, 0.0000), Te at (0.0000, 0.5000, 0.5000) and Ru at (0.5000, 0.5000, 0.5000).

Its uncorrected formation energy is 0.135 eV per atom. For the total energy, the calculation gives -6.036 eV/atom. For the density of states at the Fermi level, the calculation gives 4.61 states/eV per cell. The total moment is 0.319 μB/atom. For the density, the calculation gives 7.449 g cm⁻³. The value obtained for the volume is 26.445 Å³/atom.



[7]
First-principles (PBE-GGA) data for crystalline LaTlTc2Ru at its relaxed geometry, as listed in the Alexandria database.

It has space group P4/mmm (No. 123), with a = 4.7705 Å, b = 4.7705 Å, c = 5.4183 Å, α = 90.00°, β = 90.00° and γ = 90.00°. The inequivalent atoms are La at (0.0000, 0.0000, 0.0000), Tl at (0.5000, 0.5000, 0.0000), Tc at (0.0000, 0.5000, 0.5000) and Ru at (0.0000, 0.0000, 0.5000).

For the total energy, the calculation gives -6.559 eV/atom. For the density of states at the Fermi level, the calculation gives 5.81 states/eV per cell. The total moment is 0.308 μB/atom. For the density, the calculation gives 8.623 g cm⁻³. The value obtained for the volume is 24.662 Å³/atom. The formation energy comes out at 901 meV/atom.



[8]
First-principles (PBE-GGA) data for crystalline LaZn2TcRu at its relaxed geometry, as listed in the Alexandria database.

It has space group P4/mmm (No. 123), with a = 5.3207 Å, b = 5.3207 Å, c = 4.6918 Å, α = 90.00°, β = 90.00° and γ = 90.00°. The inequivalent atoms are La at (0.0000, 0.0000, 0.0000), Zn at (0.0000, 0.5000, 0.0000), Tc at (0.0000, 0.0000, 0.5000) and Ru at (0.5000, 0.5000, 0.5000).

For the total energy, the calculation gives -3.490 eV/atom. For the density of states at the Fermi level, the calculation gives 5.54 states/eV per cell. The total moment is 0.525 μB/atom. For the density, the calculation gives 5.861 g cm⁻³. The value obtained for the volume is 26.565 Å³/atom. The formation energy comes out at 1933 meV/atom.